Record 1
Density functional theory data (PBE-GGA) for a geometry-optimized UCd2InO6 structure.

POSCAR file:
```
UCd2InO6
1.0
5.9938 0.0000 0.0000
0.0000 5.9938 0.0000
0.0000 0.0000 4.2930
U Cd In O
1 2 1 6
direct
0.0000 0.0000 0.0000
0.0000 0.5000 0.3500
0.5000 0.0000 0.3500
0.5000 0.5000 0.9679
0.0000 0.0000 0.5063
0.2441 0.2441 0.0346
0.2441 0.7559 0.0346
0.5000 0.5000 0.4822
0.7559 0.2441 0.0346
0.7559 0.7559 0.0346
```

Calculated values
As for the density of states at the Fermi level: 0.30 states/eV per atom. Its symmetry is P4mm (99). As for the crystal system: tetragonal. For the total energy, the calculation gives -62.73 eV per cell.

Record 2
Density functional theory data (PBE-GGA) for a geometry-optimized UCdInO6 structure.

POSCAR file:
```
UCdInO6
1.0
5.5987 0.0000 0.0000
-2.7994 4.8487 0.0000
0.0000 0.0000 4.7934
U Cd In O
1 1 1 6
direct
0.0000 0.0000 0.0000
0.3333 0.6667 0.5000
0.6667 0.3333 0.0000
0.3172 0.0075 0.2321
0.3172 0.3097 0.7679
0.6903 0.0075 0.7679
0.6903 0.6828 0.2321
0.9925 0.3097 0.2321
0.9925 0.6828 0.7679
```

Calculated values
As for the density of states at the Fermi level: 0.94 states/eV per atom. Its symmetry is P312 (149). As for the crystal system: trigonal. For the total energy, the calculation gives -61.45 eV per cell.

Repeat the second record exactly.
Density functional theory data (PBE-GGA) for a geometry-optimized UCdInO6 structure.

POSCAR file:
```
UCdInO6
1.0
5.5987 0.0000 0.0000
-2.7994 4.8487 0.0000
0.0000 0.0000 4.7934
U Cd In O
1 1 1 6
direct
0.0000 0.0000 0.0000
0.3333 0.6667 0.5000
0.6667 0.3333 0.0000
0.3172 0.0075 0.2321
0.3172 0.3097 0.7679
0.6903 0.0075 0.7679
0.6903 0.6828 0.2321
0.9925 0.3097 0.2321
0.9925 0.6828 0.7679
```

Calculated values
As for the density of states at the Fermi level: 0.94 states/eV per atom. Its symmetry is P312 (149). As for the crystal system: trigonal. For the total energy, the calculation gives -61.45 eV per cell.